1.
Computed, not measured: an optimized crystal structure of CuSeO6 at the PBE-GGA level of DFT.

```
data_CuSeO6
_space_group_name_H-M_alt 'P 1'
_space_group_IT_number 1
_space_group_name_Hall 'P 1'
_cell_length_a 5.238
_cell_length_b 5.238
_cell_length_c 5.175
_cell_angle_alpha 53.99
_cell_angle_beta 53.99
_cell_angle_gamma 68.09
loop_
_atom_site_label
_atom_site_type_symbol
_atom_site_fract_x
_atom_site_fract_y
_atom_site_fract_z
Cu1 Cu 0.500 0.500 0.500
O1 O 0.907 0.368 0.599
O2 O 0.211 0.211 0.970
O3 O 0.368 0.907 0.599
O4 O 0.093 0.632 0.401
O5 O 0.632 0.093 0.401
O6 O 0.789 0.789 0.030
Se1 Se 0.000 0.000 0.000
```

Calculated values
symmetry	C2/m
E_form (uncorrected)	-0.062	eV per atom



2.
Computed, not measured: an optimized crystal structure of Cu5Se2O at the PBE-GGA level of DFT.

```
data_Cu5Se2O
_space_group_name_H-M_alt 'P 1'
_space_group_IT_number 1
_space_group_name_Hall 'P 1'
_cell_length_a 3.886
_cell_length_b 6.249
_cell_length_c 11.685
_cell_angle_alpha 90.00
_cell_angle_beta 90.00
_cell_angle_gamma 108.12
loop_
_atom_site_label
_atom_site_type_symbol
_atom_site_fract_x
_atom_site_fract_y
_atom_site_fract_z
Cu1 Cu 0.690 0.380 0.980
Cu2 Cu 0.100 0.200 0.098
Cu3 Cu 0.313 0.626 0.750
Cu4 Cu 0.310 0.620 0.480
Cu5 Cu 0.900 0.800 0.598
Cu6 Cu 0.687 0.374 0.250
Cu7 Cu 0.900 0.800 0.902
Cu8 Cu 0.100 0.200 0.402
Cu9 Cu 0.690 0.380 0.520
Cu10 Cu 0.310 0.620 0.020
O1 O 0.159 0.319 0.250
O2 O 0.841 0.681 0.750
Se1 Se 0.887 0.774 0.105
Se2 Se 0.113 0.226 0.605
Se3 Se 0.887 0.774 0.395
Se4 Se 0.113 0.226 0.895
```

Calculated values
symmetry	Cmcm
E_form (uncorrected)	-0.154	eV per atom



3.
Computed, not measured: an optimized crystal structure of CuSeO3 at the PBE-GGA level of DFT.

```
data_CuSeO3
_space_group_name_H-M_alt 'P 1'
_space_group_IT_number 1
_space_group_name_Hall 'P 1'
_cell_length_a 5.875
_cell_length_b 7.641
_cell_length_c 12.926
_cell_angle_alpha 90.00
_cell_angle_beta 90.00
_cell_angle_gamma 90.00
loop_
_atom_site_label
_atom_site_type_symbol
_atom_site_fract_x
_atom_site_fract_y
_atom_site_fract_z
O1 O 0.890 0.565 0.181
O2 O 0.388 0.750 0.816
O3 O 0.346 0.077 0.037
O4 O 0.552 0.250 0.517
O5 O 0.448 0.750 0.483
O6 O 0.846 0.923 0.463
O7 O 0.390 0.435 0.319
O8 O 0.154 0.077 0.537
O9 O 0.610 0.935 0.681
O10 O 0.052 0.750 0.983
O11 O 0.610 0.565 0.681
O12 O 0.890 0.935 0.181
O13 O 0.112 0.750 0.316
O14 O 0.346 0.423 0.037
O15 O 0.846 0.577 0.463
O16 O 0.110 0.435 0.819
O17 O 0.110 0.065 0.819
O18 O 0.612 0.250 0.184
O19 O 0.888 0.250 0.684
O20 O 0.948 0.250 0.017
O21 O 0.654 0.923 0.963
O22 O 0.154 0.423 0.537
O23 O 0.390 0.065 0.319
O24 O 0.654 0.577 0.963
Se1 Se 0.681 0.750 0.408
Se2 Se 0.819 0.750 0.908
Se3 Se 0.181 0.250 0.092
Se4 Se 0.319 0.250 0.592
Se5 Se 0.560 0.250 0.324
Se6 Se 0.440 0.750 0.676
Se7 Se 0.060 0.750 0.176
Se8 Se 0.940 0.250 0.824
Cu1 Cu 0.846 0.461 0.598
Cu2 Cu 0.654 0.039 0.098
Cu3 Cu 0.346 0.539 0.902
Cu4 Cu 0.346 0.961 0.902
Cu5 Cu 0.654 0.461 0.098
Cu6 Cu 0.846 0.039 0.598
Cu7 Cu 0.154 0.961 0.402
Cu8 Cu 0.154 0.539 0.402
```

Calculated values
symmetry	Pnma
E_form (uncorrected)	-0.648	eV per atom



4.
Computed, not measured: an optimized crystal structure of CuSeO at the PBE-GGA level of DFT.

```
data_CuSeO
_space_group_name_H-M_alt 'P 1'
_space_group_IT_number 1
_space_group_name_Hall 'P 1'
_cell_length_a 3.409
_cell_length_b 4.567
_cell_length_c 7.597
_cell_angle_alpha 65.49
_cell_angle_beta 90.00
_cell_angle_gamma 111.91
loop_
_atom_site_label
_atom_site_type_symbol
_atom_site_fract_x
_atom_site_fract_y
_atom_site_fract_z
Cu1 Cu 0.000 0.000 0.500
Cu2 Cu 0.000 0.000 0.000
O1 O 0.441 0.881 0.878
O2 O 0.559 0.119 0.122
Se1 Se 0.327 0.653 0.727
Se2 Se 0.673 0.347 0.273
```

Calculated values
symmetry	C2/m
E_form (uncorrected)	-0.241	eV per atom



5.
Computed, not measured: an optimized crystal structure of Cu3SeO4 at the PBE-GGA level of DFT.

```
data_Cu3SeO4
_space_group_name_H-M_alt 'P 1'
_space_group_IT_number 1
_space_group_name_Hall 'P 1'
_cell_length_a 5.288
_cell_length_b 5.133
_cell_length_c 7.152
_cell_angle_alpha 90.00
_cell_angle_beta 90.00
_cell_angle_gamma 90.00
loop_
_atom_site_label
_atom_site_type_symbol
_atom_site_fract_x
_atom_site_fract_y
_atom_site_fract_z
O1 O 0.100 0.897 0.000
O2 O 0.704 0.219 0.000
O3 O 0.610 0.695 0.226
O4 O 0.204 0.781 0.500
O5 O 0.110 0.305 0.274
O6 O 0.610 0.695 0.774
O7 O 0.600 0.103 0.500
O8 O 0.110 0.305 0.726
Cu1 Cu 0.987 0.127 0.500
Cu2 Cu 0.977 0.688 0.718
Cu3 Cu 0.487 0.873 0.000
Cu4 Cu 0.477 0.312 0.218
Cu5 Cu 0.477 0.312 0.782
Cu6 Cu 0.977 0.688 0.282
Se1 Se 0.550 0.760 0.500
Se2 Se 0.050 0.240 0.000
```

Calculated values
symmetry	Pmn2_1
E_form (uncorrected)	-0.387	eV per atom



6.
Computed, not measured: an optimized crystal structure of CuSe2O at the PBE-GGA level of DFT.

```
data_CuSe2O
_space_group_name_H-M_alt 'P 1'
_space_group_IT_number 1
_space_group_name_Hall 'P 1'
_cell_length_a 4.915
_cell_length_b 4.915
_cell_length_c 6.991
_cell_angle_alpha 69.42
_cell_angle_beta 69.42
_cell_angle_gamma 90.00
loop_
_atom_site_label
_atom_site_type_symbol
_atom_site_fract_x
_atom_site_fract_y
_atom_site_fract_z
Cu1 Cu 0.750 0.250 0.500
Cu2 Cu 0.000 0.000 0.000
Se1 Se 0.585 0.125 0.250
Se2 Se 0.375 0.415 0.750
Se3 Se 0.165 0.625 0.250
Se4 Se 0.875 0.835 0.750
O1 O 0.250 0.750 0.500
O2 O 0.500 0.500 0.000
```

Calculated values
symmetry	I-42d
E_form (uncorrected)	0.211	eV per atom



7.
Computed, not measured: an optimized crystal structure of Cu4Se3O10 at the PBE-GGA level of DFT.

```
data_Cu4Se3O10
_space_group_name_H-M_alt 'P 1'
_space_group_IT_number 1
_space_group_name_Hall 'P 1'
_cell_length_a 8.145
_cell_length_b 8.306
_cell_length_c 8.499
_cell_angle_alpha 77.22
_cell_angle_beta 65.68
_cell_angle_gamma 81.19
loop_
_atom_site_label
_atom_site_type_symbol
_atom_site_fract_x
_atom_site_fract_y
_atom_site_fract_z
Se1 Se 0.833 0.809 0.531
Se2 Se 0.057 0.718 0.876
Se3 Se 0.167 0.191 0.469
Se4 Se 0.399 0.797 0.161
Se5 Se 0.943 0.282 0.124
Se6 Se 0.601 0.203 0.839
O1 O 0.092 0.539 0.778
O2 O 0.243 0.350 0.286
O3 O 0.374 0.082 0.425
O4 O 0.515 0.642 0.042
O5 O 0.530 0.386 0.399
O6 O 0.463 0.203 0.730
O7 O 0.783 0.304 0.669
O8 O 0.150 0.868 0.699
O9 O 0.626 0.918 0.575
O10 O 0.757 0.650 0.714
O11 O 0.220 0.669 0.964
O12 O 0.780 0.331 0.036
O13 O 0.217 0.696 0.331
O14 O 0.850 0.132 0.301
O15 O 0.537 0.797 0.270
O16 O 0.470 0.614 0.601
O17 O 0.908 0.461 0.222
O18 O 0.146 0.298 0.635
O19 O 0.485 0.358 0.958
O20 O 0.854 0.702 0.365
Cu1 Cu 0.392 0.838 0.514
Cu2 Cu 0.484 0.630 0.824
Cu3 Cu 0.678 0.550 0.391
Cu4 Cu 0.091 0.562 0.264
Cu5 Cu 0.608 0.162 0.486
Cu6 Cu 0.322 0.450 0.609
Cu7 Cu 0.909 0.438 0.736
Cu8 Cu 0.516 0.370 0.176
```

Calculated values
symmetry	P-1
E_form (uncorrected)	-0.661	eV per atom



8.
Computed, not measured: an optimized crystal structure of CuSe3O9 at the PBE-GGA level of DFT.

```
data_CuSe3O9
_space_group_name_H-M_alt 'P 1'
_space_group_IT_number 1
_space_group_name_Hall 'P 1'
_cell_length_a 8.078
_cell_length_b 7.614
_cell_length_c 9.321
_cell_angle_alpha 72.55
_cell_angle_beta 64.32
_cell_angle_gamma 57.95
loop_
_atom_site_label
_atom_site_type_symbol
_atom_site_fract_x
_atom_site_fract_y
_atom_site_fract_z
O1 O 0.235 0.272 0.865
O2 O 0.629 0.771 0.365
O3 O 0.566 0.201 0.574
O4 O 0.461 0.493 0.752
O5 O 0.294 0.993 0.252
O6 O 0.914 0.963 0.991
O7 O 0.923 0.947 0.320
O8 O 0.133 0.463 0.490
O9 O 0.288 0.571 0.154
O10 O 0.436 0.575 0.378
O11 O 0.641 0.792 0.649
O12 O 0.515 0.203 0.297
O13 O 0.660 0.701 0.074
O14 O 0.810 0.447 0.820
O15 O 0.611 0.075 0.878
O16 O 0.988 0.071 0.654
O17 O 0.918 0.292 0.149
O18 O 0.985 0.703 0.797
Se1 Se 0.769 0.529 0.649
Se2 Se 0.462 0.272 0.758
Se3 Se 0.053 0.029 0.149
Se4 Se 0.325 0.449 0.322
Se5 Se 0.507 0.772 0.258
Se6 Se 0.903 0.949 0.822
Cu1 Cu 0.592 0.991 0.468
Cu2 Cu 0.948 0.491 0.968
```

Calculated values
symmetry	Cc
E_form (uncorrected)	-0.506	eV per atom



Number 1: E -4.73 eV per atom. Number 2: E -4.20 eV per atom. Number 3: E -5.14 eV per atom. Number 4: E -4.42 eV per atom. Number 5: E -4.84 eV per atom. Number 6: E -3.79 eV per atom. Number 7: E -5.16 eV per atom. Number 8: E -5.06 eV per atom.